Entry a
First-principles (PBE-GGA) data for a relaxed structure of Pr3Ho3Te2Pt, as listed in OQMD via LeMat-Bulk.

a = 8.6724 Å, b = 8.6724 Å, c = 3.9516 Å
α = 90.00°, β = 90.00°, γ = 120.00°
Closest atoms and distances in Å follow each position.
Sites, in units of the cell vectors:
Pt 0.0000 0.0000 0.0000  6 Pr 2.94
Pr 0.2513 0.2513 0.5000  2 Pt 2.94
Ho 0.5944 0.5944 0.0000  4 Te 3.29, 1 Pt 3.52, 6 Pr 3.57-3.66
Pr 0.7487 0.0000 0.5000  2 Pt 2.94
Te 0.6667 0.3333 0.5000  6 Ho 3.29, 3 Pr 3.30
Ho 0.4056 0.0000 0.0000  4 Te 3.29, 1 Pt 3.52, 6 Pr 3.57-3.66
Ho 0.0000 0.4056 0.0000  4 Te 3.29, 1 Pt 3.52, 6 Pr 3.57-3.66
Te 0.3333 0.6667 0.5000  6 Ho 3.29, 3 Pr 3.30
Pr 0.0000 0.7487 0.5000  2 Pt 2.94

---

Entry b
First-principles (PBE-GGA) data for a relaxed structure of Pr3Ho3Te2Pt, as listed in OQMD via LeMat-Bulk.

a = 8.5168 Å, b = 8.5168 Å, c = 4.0776 Å
α = 90.00°, β = 90.00°, γ = 120.00°
Closest atoms and distances in Å follow each position.
Sites, in units of the cell vectors:
Pr 0.4055 0.0000 0.0000  4 Te 3.29, 1 Pt 3.45, 6 Ho 3.63-3.65
Pt 0.0000 0.0000 0.0000  6 Ho 2.88
Ho 0.2385 0.2385 0.5000  2 Pt 2.88
Pr 0.0000 0.4055 0.0000  4 Te 3.29, 1 Pt 3.45, 6 Ho 3.63-3.65
Te 0.6667 0.3333 0.5000  6 Pr 3.29, 3 Ho 3.32
Ho 0.7615 0.0000 0.5000  2 Pt 2.88
Pr 0.5945 0.5945 0.0000  4 Te 3.29, 1 Pt 3.45, 6 Ho 3.63-3.65
Te 0.3333 0.6667 0.5000  6 Pr 3.29, 3 Ho 3.32
Ho 0.0000 0.7615 0.5000  2 Pt 2.88

---

Top of the stability list: entry b, leading by 0.149 eV/atom.

---

Entry a
First-principles (PBE-GGA) data for a relaxed structure of PrHoS2, as listed in OQMD via LeMat-Bulk.

a = 3.9490 Å, b = 3.9490 Å, c = 7.0343 Å
α = 106.35°, β = 106.35°, γ = 60.11°
Closest atoms and distances in Å follow each position.
Sites, in units of the cell vectors:
S 0.7429 0.7429 0.2285  3 Ho 2.74, 3 Pr 2.91
S 0.2571 0.2571 0.7715  3 Ho 2.74, 3 Pr 2.91
Ho 0.0000 0.0000 0.0000  6 S 2.74
Pr 0.5000 0.5000 0.5000  6 S 2.91

---

Entry b
First-principles (PBE-GGA) data for a relaxed structure of PrHoS2, as listed in OQMD via LeMat-Bulk.

a = 3.9995 Å, b = 3.9995 Å, c = 5.6567 Å
α = 90.00°, β = 90.00°, γ = 90.00°
Closest atoms and distances in Å follow each position.
Sites, in units of the cell vectors:
S 0.0000 0.0000 0.0000  4 Pr 2.83, 2 Ho 2.83
Pr 0.5000 0.5000 0.0000  6 S 2.83
S 0.5000 0.5000 0.5000  4 Ho 2.83, 2 Pr 2.83
Ho 0.0000 0.0000 0.5000  6 S 2.83

---

Top of the stability list: entry a, leading by 0.050 eV/atom.

---

Entry a
First-principles (PBE-GGA) data for a relaxed structure of PrHoSi2, as listed in OQMD via LeMat-Bulk.

a = 3.8963 Å, b = 5.8301 Å, c = 8.0979 Å
α = 90.00°, β = 90.00°, γ = 90.00°
Closest atoms and distances in Å follow each position.
Sites, in units of the cell vectors:
Si 0.5000 0.8680 0.4645  2 Si 2.50
Pr 0.0000 0.8648 0.1787  7 Si 3.03-3.24
Si 0.0000 0.3807 0.0371  2 Si 2.50
Ho 0.5000 0.3644 0.3197  7 Si 3.01-3.18
Si 0.5000 0.1320 0.9645  2 Si 2.50
Si 0.0000 0.6193 0.5371  2 Si 2.50
Pr 0.0000 0.1352 0.6787  7 Si 3.03-3.24
Ho 0.5000 0.6356 0.8197  7 Si 3.01-3.18

---

Entry b
First-principles (PBE-GGA) data for a relaxed structure of PrHoSi2, as listed in OQMD via LeMat-Bulk.

a = 3.8888 Å, b = 8.1180 Å, c = 5.8149 Å
α = 90.00°, β = 90.00°, γ = 90.00°
Closest atoms and distances in Å follow each position.
Sites, in units of the cell vectors:
Si 0.0000 0.2975 0.8752  2 Si 2.50
Si 0.5000 0.7025 0.3752  2 Si 2.50
Pr 0.0000 0.9284 0.1136  7 Si 3.08-3.30
Ho 0.5000 0.5694 0.8851  7 Si 2.94-3.16
Ho 0.0000 0.4306 0.3851  7 Si 2.94-3.16
Si 0.0000 0.7753 0.6260  2 Si 2.50
Pr 0.5000 0.0716 0.6136  7 Si 3.08-3.30
Si 0.5000 0.2247 0.1260  2 Si 2.50

---

Top of the stability list: entry b, leading by 0.011 eV/atom.

---

Entry a
First-principles (PBE-GGA) data for a relaxed structure of PrHoZn2Sn2, as listed in OQMD via LeMat-Bulk.

a = 4.5563 Å, b = 4.5563 Å, c = 15.9946 Å
α = 90.00°, β = 90.00°, γ = 120.00°
Closest atoms and distances in Å follow each position.
Sites, in units of the cell vectors:
Sn 0.3333 0.6667 0.6094  3 Zn 2.72
Sn 0.6667 0.3333 0.1094  3 Zn 2.72
Sn 0.6667 0.3333 0.3906  3 Zn 2.72
Sn 0.3333 0.6667 0.8906  3 Zn 2.72
Zn 0.6667 0.3333 0.6530  3 Sn 2.72
Ho 0.0000 0.0000 0.5000  6 Sn 3.16
Zn 0.3333 0.6667 0.1530  3 Sn 2.72
Pr 0.0000 0.0000 0.7500  6 Zn 3.05
Pr 0.0000 0.0000 0.2500  6 Zn 3.05
Zn 0.6667 0.3333 0.8470  3 Sn 2.72
Zn 0.3333 0.6667 0.3470  3 Sn 2.72
Ho 0.0000 0.0000 0.0000  6 Sn 3.16

---

Entry b
First-principles (PBE-GGA) data for a relaxed structure of PrHoZn2Sn2, as listed in OQMD via LeMat-Bulk.

a = 4.5294 Å, b = 4.5294 Å, c = 16.1624 Å
α = 90.00°, β = 90.00°, γ = 120.00°
Closest atoms and distances in Å follow each position.
Sites, in units of the cell vectors:
Zn 0.3333 0.6667 0.1622  3 Sn 2.71, 1 Zn 2.84, 3 Ho 2.98
Ho 0.0000 0.0000 0.2500  6 Zn 2.98
Ho 0.0000 0.0000 0.7500  6 Zn 2.98
Pr 0.0000 0.0000 0.5000  6 Sn 3.25
Zn 0.6667 0.3333 0.6622  3 Sn 2.71, 1 Zn 2.84, 3 Ho 2.98
Zn 0.6667 0.3333 0.8378  3 Sn 2.71, 1 Zn 2.84, 3 Ho 2.98
Sn 0.6667 0.3333 0.3809  3 Zn 2.71
Sn 0.3333 0.6667 0.8809  3 Zn 2.71
Zn 0.3333 0.6667 0.3378  3 Sn 2.71, 1 Zn 2.84, 3 Ho 2.98
Sn 0.6667 0.3333 0.1191  3 Zn 2.71
Pr 0.0000 0.0000 0.0000  6 Sn 3.25
Sn 0.3333 0.6667 0.6191  3 Zn 2.71

---

Top of the stability list: entry b, leading by 0.026 eV/atom.

---

Entry a
First-principles (PBE-GGA) data for a relaxed structure of PrHoTlTe3, as listed in OQMD via LeMat-Bulk.

a = 7.9950 Å, b = 7.9950 Å, c = 12.2127 Å
α = 90.00°, β = 90.00°, γ = 147.82°
Closest atoms and distances in Å follow each position.
Sites, in units of the cell vectors:
Pr 0.5767 0.4233 0.7500  4 Te 3.03-3.10
Te 0.3579 0.6421 0.0157  1 Pr 3.03, 2 Ho 3.12
Pr 0.4233 0.5767 0.2500  4 Te 3.03-3.10
Tl 0.7351 0.2649 0.2500  4 Te 3.43-3.55, 2 Pr 3.64
Te 0.9357 0.0643 0.7500  2 Pr 3.10, 2 Ho 3.21, 2 Tl 3.43
Ho 0.0000 0.0000 0.0000  6 Te 3.12-3.21
Te 0.0643 0.9357 0.2500  2 Pr 3.10, 2 Ho 3.21, 2 Tl 3.43
Te 0.6421 0.3579 0.5157  1 Pr 3.03, 2 Ho 3.12
Te 0.3579 0.6421 0.4843  1 Pr 3.03, 2 Ho 3.12
Tl 0.2649 0.7351 0.7500  4 Te 3.43-3.55, 2 Pr 3.64
Te 0.6421 0.3579 0.9843  1 Pr 3.03, 2 Ho 3.12
Ho 0.0000 0.0000 0.5000  6 Te 3.12-3.21

---

Entry b
First-principles (PBE-GGA) data for a relaxed structure of PrHoTlTe3, as listed in OQMD via LeMat-Bulk.

a = 8.0456 Å, b = 8.0456 Å, c = 12.3419 Å
α = 90.00°, β = 90.00°, γ = 146.90°
Closest atoms and distances in Å follow each position.
Sites, in units of the cell vectors:
Te 0.5691 0.4309 0.7500  2 Ho 2.97, 2 Pr 3.26
Te 0.4309 0.5691 0.2500  2 Ho 2.97, 2 Pr 3.26
Te 0.1453 0.8547 0.4574  1 Ho 2.92, 2 Pr 3.25
Tl 0.7523 0.2477 0.2500  8 Te 3.58-3.94, 2 Ho 3.83
Pr 0.5000 0.5000 0.0000  6 Te 3.25-3.26
Te 0.8547 0.1453 0.9574  1 Ho 2.92, 2 Pr 3.25
Ho 0.9463 0.0537 0.7500  4 Te 2.92-2.97
Te 0.8547 0.1453 0.5426  1 Ho 2.92, 2 Pr 3.25
Te 0.1453 0.8547 0.0426  1 Ho 2.92, 2 Pr 3.25
Pr 0.5000 0.5000 0.5000  6 Te 3.25-3.26
Tl 0.2477 0.7523 0.7500  8 Te 3.58-3.94, 2 Ho 3.83
Ho 0.0537 0.9463 0.2500  4 Te 2.92-2.97

---

Top of the stability list: entry b, leading by 0.040 eV/atom.